Below is Si3MoO after structural relaxation, with properties calculated at the GGA+U level.

## Properties
Excess energy over the best structure of this formula in the dataset   0.000 eV/atom
E_tot   -0.3970 Ry per atom
Symmetry   No. 221

Cell: 4.1041 4.1041 4.1041 Å, 90.00 90.00 90.00°
With the nearest neighbours (Å) after each atom.
Fractional positions:
1 Mo 0.5000 0.5000 0.5000  12 Si 2.90
2 Si 0.0000 0.5000 0.0000  2 O 2.05
3 Si 0.0000 0.0000 0.5000  2 O 2.05
4 Si 0.5000 0.0000 0.0000  2 O 2.05
5 O 0.0000 0.0000 0.0000  6 Si 2.05